The following is a DFT calculation (PBE+U) of a geometry-optimized TiCo2O4 structure.

* energy above the lowest structure with this stoichiometry: 0 meV per atom
* space group: Imma, No. 74
* total moment: 11.97 Bohr magnetons per cell

Cell and atoms, written as POSCAR:
```
TiCo2O4
1.0
1.299 0.225 5.903
-1.862 5.747 0.310
-3.629 -4.322 -2.177
Ti Co O
2 4 8
Cartesian
-0.281 2.986 3.107 Ti
-2.745 0.712 -0.933 Ti
-1.824 -2.263 3.637 Co
-2.368 3.913 0.400 Co
0.650 0.113 2.952 Co
-2.096 0.825 2.018 Co
-4.551 -0.005 -0.429 O
-4.009 0.075 2.296 O
-2.103 -0.640 0.403 O
-2.903 2.019 0.528 O
-1.288 -0.369 3.509 O
-0.183 1.575 1.741 O
-2.089 2.291 3.634 O
0.360 1.655 4.466 O
```